# 1
The following is a PBE calculation of a relaxed Cs2TlZnBi2 crystal, from Alexandria via LeMat-Bulk.

Geometry as CIF:
```
data_Cs2TlZnBi2
_chemical_formula_sum 'Cs8 Tl4 Zn4 Bi8'
_cell_length_a 7.519
_cell_length_b 17.676
_cell_length_c 7.432
_cell_angle_alpha 90.00
_cell_angle_beta 90.00
_cell_angle_gamma 90.00
_symmetry_space_group_name_H-M 'I b a m'
_symmetry_Int_Tables_number 72
_symmetry_space_group_name_Hall '-I 2 2c'
loop_
_atom_site_label
_atom_site_fract_x
_atom_site_fract_y
_atom_site_fract_z
Cs1 0.237 0.165 0.000
Tl1 0.000 0.000 0.250
Zn1 0.000 0.500 0.250
Bi1 0.215 0.409 0.000
```

Summary:
VASP energy in eV for the cell shown: -59.06
Density of states at the Fermi level in states/eV/atom: 0.368
Calculated density in g cm⁻³: 6.41
Calculated formation energy in meV/atom: -276


# 2
The following is a PBE calculation of a relaxed CsTlZnBi crystal, from Alexandria via LeMat-Bulk.

Geometry as CIF:
```
data_CsTlZnBi
_chemical_formula_sum 'Cs2 Tl2 Zn2 Bi2'
_cell_length_a 4.506
_cell_length_b 4.506
_cell_length_c 15.636
_cell_angle_alpha 90.00
_cell_angle_beta 90.00
_cell_angle_gamma 90.00
_symmetry_space_group_name_H-M 'P 4/n m m'
_symmetry_Int_Tables_number 129
loop_
_symmetry_equiv_pos_as_xyz
'x,y,z'
'-x,-y,-z'
'-y+1/2,x,z'
'y+1/2,-x,-z'
'-x+1/2,-y+1/2,z'
'x+1/2,y+1/2,-z'
'y,-x+1/2,z'
'-y,x+1/2,-z'
'x+1/2,-y,-z'
'-x+1/2,y,z'
'-y,-x,-z'
'y,x,z'
'-x,y+1/2,-z'
'x,-y+1/2,z'
'y+1/2,x+1/2,-z'
'-y+1/2,-x+1/2,z'
loop_
_atom_site_label
_atom_site_fract_x
_atom_site_fract_y
_atom_site_fract_z
Cs1 0.250 0.250 0.246
Tl1 0.250 0.750 0.000
Zn1 0.250 0.750 0.500
Bi1 0.250 0.250 0.612
```

Summary:
VASP energy in eV for the cell shown: -17.71
Density of states at the Fermi level in states/eV/atom: 0.640
Calculated density in g cm⁻³: 6.40
Calculated formation energy in meV/atom: -120


# 3
The following is a PBE calculation of a relaxed CsZrTlBi2 crystal, from Alexandria via LeMat-Bulk.

Geometry as CIF:
```
data_CsZrTlBi2
_chemical_formula_sum 'Cs1 Zr1 Tl1 Bi2'
_cell_length_a 5.787
_cell_length_b 5.787
_cell_length_c 5.889
_cell_angle_alpha 90.00
_cell_angle_beta 90.00
_cell_angle_gamma 90.00
_symmetry_space_group_name_H-M 'P 4/m m m'
_symmetry_Int_Tables_number 123
_symmetry_space_group_name_Hall '-P 4 2'
loop_
_atom_site_label
_atom_site_fract_x
_atom_site_fract_y
_atom_site_fract_z
Cs1 0.000 0.000 0.000
Zr1 0.500 0.500 0.500
Tl1 0.500 0.500 0.000
Bi1 0.000 0.500 0.500
```

Summary:
VASP energy in eV for the cell shown: -20.22
Density of states at the Fermi level in states/eV/atom: 0.881
Calculated density in g cm⁻³: 7.13
Calculated formation energy in meV/atom: -139


Among the records above, which one has the lowest calculated formation energy? Cs2TlZnBi2


The highest density of states at the Fermi level belongs to which entry? CsZrTlBi2


The highest VASP energy belongs to which entry? CsTlZnBi